[1]
Computed, not measured: a geometry-optimized MnFePd3 structure at the GGA-PBE level of DFT.

Unit cell a=4.4891 b=4.4891 c=4.4891 alpha=90.00 beta=90.00 gamma=90.00
Closest atoms and distances in Å follow each position.
Atoms (fractional coordinates):
Mn 0.5000 0.5000 0.5000  12 Pd 3.17
Fe 0.0000 0.0000 0.0000  6 Pd 2.24
Pd 0.0000 0.5000 0.0000  2 Fe 2.24
Pd 0.0000 0.0000 0.5000  2 Fe 2.24
Pd 0.5000 0.0000 0.0000  2 Fe 2.24

## Properties
N(E_F): 15.74 states/eV/cell
Calculated formation energy: 1.460 eV/atom
Total moment: 0.5 μB/cell
E above lowest polymorph: 1582.7 meV per atom

[2]
Computed, not measured: a geometry-optimized Mn4FePd5 structure at the GGA-PBE level of DFT.

Unit cell a=3.1933 b=3.1933 c=14.6373 alpha=90.00 beta=90.00 gamma=90.00
Closest atoms and distances in Å follow each position.
Atoms (fractional coordinates):
Mn 0.0000 0.0000 0.1932  8 Pd 2.67-2.72, 1 Fe 2.83
Mn 0.0000 0.0000 0.3979  8 Pd 2.70-2.71, 2 Mn 2.99-3.00
Mn 0.0000 0.0000 0.6021  8 Pd 2.70-2.71, 2 Mn 2.99-3.00
Mn 0.0000 0.0000 0.8068  8 Pd 2.67-2.72, 1 Fe 2.83
Fe 0.0000 0.0000 0.0000  8 Pd 2.66, 2 Mn 2.83
Pd 0.5000 0.5000 0.0956  4 Fe 2.66, 4 Mn 2.67, 2 Pd 2.80-2.94
Pd 0.5000 0.5000 0.2963  8 Mn 2.70-2.72, 2 Pd 2.94-2.98
Pd 0.5000 0.5000 0.5000  8 Mn 2.71, 2 Pd 2.98
Pd 0.5000 0.5000 0.7037  8 Mn 2.70-2.72, 2 Pd 2.94-2.98
Pd 0.5000 0.5000 0.9044  4 Fe 2.66, 4 Mn 2.67, 2 Pd 2.80-2.94

## Properties
N(E_F): 3.94 states/eV/cell
Calculated formation energy: -0.152 eV/atom
Total moment: 14.2 μB/cell